Compound: Ag3RuW
Source: Alexandria via LeMat-Bulk
Functional: PBEsol
Structure: optimized geometry

Cell: 4.820 4.820 4.820 Å, 90.00 90.00 90.00°
Space group Pm-3m (No. 221)
One atom of each set of equivalent atoms:
Ag: 0.000 0.000 0.500 [3 per cell]
Ru: 0.000 0.000 0.000 [1 per cell]
W: 0.500 0.500 0.500 [1 per cell]

Values from the calculation:
- ΔE_f: 12.016 eV per formula unit
- DOS at the Fermi energy: 6.017 states/eV/f.u.
- Calculated volume: 22.397 Å³/atom
- Energy: -4.379 eV/atom

=====

Compound: AgRu2W
Source: Alexandria via LeMat-Bulk
Functional: PBEsol
Structure: optimized geometry

Cell: 3.791 3.791 8.060 Å, 90.00 90.00 90.00°
Space group I-4m2 (No. 119)
One atom of each set of equivalent atoms:
Ag: 0.000 0.000 0.000 [2 per cell]
Ru: 0.000 0.000 0.500 [2 per cell]
Ru: 0.000 0.500 0.250 [2 per cell]
W: 0.000 0.500 0.750 [2 per cell]

Values from the calculation:
- ΔE_f: 1.760 eV per formula unit
- Energy above the lowest structure with this stoichiometry: 199 meV/atom
- DOS at the Fermi energy: 5.075 states/eV/f.u.
- Calculated volume: 14.481 Å³/atom
- Energy: -8.926 eV/atom

=====

Compound: AgRuW2
Source: Alexandria via LeMat-Bulk
Functional: PBEsol
Structure: optimized geometry

Cell: 9.153 2.780 4.857 Å, 90.00 100.33 90.00°
Space group Cm (No. 8)
One atom of each set of equivalent atoms:
Ag: 0.000 0.000 0.000 [2 per cell]
Ru: 0.245 0.000 0.731 [2 per cell]
W: 0.007 0.500 0.513 [2 per cell]
W: 0.255 0.500 0.246 [2 per cell]

Values from the calculation:
- ΔE_f: 1.749 eV per formula unit
- Energy above the lowest structure with this stoichiometry: 56 meV/atom
- DOS at the Fermi energy: 3.277 states/eV/f.u.
- Calculated volume: 15.198 Å³/atom
- Energy: -9.837 eV/atom

=====

Compound: Ag2RuW
Source: Alexandria via LeMat-Bulk
Functional: PBEsol
Structure: optimized geometry

Cell: 3.671 4.263 7.891 Å, 90.00 90.00 90.00°
Space group Imm2 (No. 44)
One atom of each set of equivalent atoms:
Ag: 0.000 0.000 0.000 [2 per cell]
Ag: 0.000 0.500 0.244 [2 per cell]
Ru: 0.000 0.500 0.762 [2 per cell]
W: 0.000 0.000 0.478 [2 per cell]

Values from the calculation:
- ΔE_f: 2.150 eV per formula unit
- Energy above the lowest structure with this stoichiometry: 27 meV/atom
- DOS at the Fermi energy: 1.685 states/eV/f.u.
- Calculated volume: 15.434 Å³/atom
- Energy: -7.113 eV/atom

=====

Compound: AgRu2W
Source: Alexandria via LeMat-Bulk
Functional: PBEsol
Structure: optimized geometry

Cell: 2.7539 2.7539 27.0434 Å, 90.00 90.00 120.00°
Space group R-3m (No. 166, hexagonal axes)
One atom of each set of equivalent atoms:
Ag: 0.0000 0.0000 0.0000 [3 per cell]
Ru: 0.0000 0.0000 0.2453 [6 per cell]
W: 0.0000 0.0000 0.5000 [3 per cell]

Values from the calculation:
- ΔE_f: 0.962 eV per formula unit
- Energy above the lowest structure with this stoichiometry: 0 meV/atom
- DOS at the Fermi energy: 3.398 states/eV/f.u.
- Calculated volume: 14.802 Å³/atom
- Energy: -9.125 eV/atom

=====

Compound: Ag2RuW
Source: Alexandria via LeMat-Bulk
Functional: PBEsol
Structure: optimized geometry

Cell: 9.041 2.707 5.078 Å, 90.00 97.23 90.00°
Space group Cm (No. 8)
One atom of each set of equivalent atoms:
Ag: 0.000 0.000 0.000 [2 per cell]
Ag: 0.250 0.000 0.781 [2 per cell]
Ru: 0.004 0.500 0.484 [2 per cell]
W: 0.251 0.500 0.294 [2 per cell]

Values from the calculation:
- ΔE_f: 2.042 eV per formula unit
- Energy above the lowest structure with this stoichiometry: 0 meV/atom
- DOS at the Fermi energy: 3.498 states/eV/f.u.
- Calculated volume: 15.411 Å³/atom
- Energy: -7.140 eV/atom

=====

Compound: YAgRu
Source: Alexandria via LeMat-Bulk
Functional: PBEsol
Structure: optimized geometry

Cell: 6.360 6.360 6.360 Å, 90.00 90.00 90.00°
Space group F-43m (No. 216)
One atom of each set of equivalent atoms:
Y: 0.000 0.000 0.000 [4 per cell]
Ag: 0.250 0.250 0.750 [4 per cell]
Ru: 0.000 0.000 0.500 [4 per cell]

Values from the calculation:
- ΔE_f: 1.524 eV per formula unit
- DOS at the Fermi energy: 4.511 states/eV/f.u.
- Calculated volume: 21.435 Å³/atom
- Energy: -6.261 eV/atom

=====

Compound: YAg2Ru
Source: Alexandria via LeMat-Bulk
Functional: PBEsol
Structure: optimized geometry

Cell: 3.446 3.446 6.098 Å, 90.00 90.00 90.00°
Space group P4mm (No. 99)
One atom of each set of equivalent atoms:
Y: 0.000 0.000 0.000 [1 per cell]
Ag: 0.000 0.000 0.520 [1 per cell]
Ag: 0.500 0.500 0.300 [1 per cell]
Ru: 0.500 0.500 0.763 [1 per cell]

Values from the calculation:
- ΔE_f: 0.176 eV per formula unit
- Energy above the lowest structure with this stoichiometry: 0 meV/atom
- DOS at the Fermi energy: 2.598 states/eV/f.u.
- Calculated volume: 18.106 Å³/atom
- Energy: -5.860 eV/atom

=====

Question: ΔE_f of number 4 (Ag2RuW)?
Answer: 2.150 eV per formula unit

=====

Question: What is the energy in the seventh record?
Answer: -6.261 eV/atom

=====

Question: Number 3 is which compound?
Answer: AgRuW2

=====

Please write out number 3 again, unchanged.
Compound: AgRuW2
Source: Alexandria via LeMat-Bulk
Functional: PBEsol
Structure: optimized geometry

Cell: 9.153 2.780 4.857 Å, 90.00 100.33 90.00°
Space group Cm (No. 8)
One atom of each set of equivalent atoms:
Ag: 0.000 0.000 0.000 [2 per cell]
Ru: 0.245 0.000 0.731 [2 per cell]
W: 0.007 0.500 0.513 [2 per cell]
W: 0.255 0.500 0.246 [2 per cell]

Values from the calculation:
- ΔE_f: 1.749 eV per formula unit
- Energy above the lowest structure with this stoichiometry: 56 meV/atom
- DOS at the Fermi energy: 3.277 states/eV/f.u.
- Calculated volume: 15.198 Å³/atom
- Energy: -9.837 eV/atom